The following is a PBE calculation of an optimized crystal structure of LiAlSe2, from Alexandria via LeMat-Bulk.

Summary:
Uncorrected formation energy, eV per atom: 0.008
Space group: No. 216
Spin magnetization, μB/f.u.: 0.0

Lattice parameters (Å, degrees): 4.8089 4.8089 4.8089 60.00 60.00 60.00
With the nearest neighbours (Å) after each atom.
Positions (direct):
Al: 0.5000 0.5000 0.5000  4 Se 2.94, 4 Li 2.94
Li: 0.7500 0.7500 0.7500  4 Se 2.94, 4 Al 2.94
Se: 0.0000 0.0000 0.0000  4 Se 2.94, 4 Li 2.94
Se: 0.2500 0.2500 0.2500  4 Se 2.94, 4 Al 2.94

=====

The following is a PBE calculation of an optimized crystal structure of TbNdO2, from Alexandria via LeMat-Bulk.

Summary:
Energy above the lowest structure with this stoichiometry, eV per atom: 0.1258
Uncorrected formation energy, eV per atom: -2.692
Space group: No. 160
Spin magnetization, μB/f.u.: 0.0

Lattice parameters (Å, degrees): 3.4713 3.4713 6.3454 74.13 74.13 60.00
With the nearest neighbours (Å) after each atom.
Positions (direct):
Tb: 0.6723 0.6723 0.9832  6 O 2.33-2.44
Nd: 0.4947 0.4947 0.5158  6 O 2.58-2.70
O: 0.0713 0.0713 0.7861  3 Tb 2.33, 3 Nd 2.58
O: 0.2617 0.2617 0.2149  3 Tb 2.44, 3 Nd 2.70